KGa3Pb: optimized geometry, PBE-GGA.

Structure (POSCAR):
```
KGa3Pb
1.0
5.623 0.000 0.000
0.000 5.623 0.000
0.000 0.000 5.623
K Ga Pb
1 3 1
direct
0.000 0.000 0.000
0.000 0.000 0.500
0.000 0.500 0.000
0.500 0.000 0.000
0.500 0.500 0.500
```

Output
Formation energy   912 meV per atom
Space-group type   Pm-3m (221)
Distance to the lowest polymorph of the same formula   0.560 eV per atom
Magnetic moment   0.00 Bohr magnetons per cell